No. 1
The following is a PBE-GGA calculation of a relaxed Co2BPtSe crystal, from the Alexandria database.

Cell lengths 4.3283, 4.7488, 4.3283 Å; angles 90.00, 90.00, 90.00 degrees
Last column: magnetic moment on the atom in μB.
Element x y z (fractional)
Co  0.0000  0.0000  0.5000  1.30
Co  0.5000  0.0000  0.0000  1.62
Pt  0.0000  0.5000  0.0000  0.11
Se  0.0000  0.0000  0.0000  0.01
B  0.5000  0.5000  0.5000  -0.03

Values from the calculation:
symmetry = P4/mmm (123)
uncorrected formation energy = 1.461 eV per atom

***

No. 2
The following is a PBE-GGA calculation of a relaxed KPmSi2O6 crystal, from the Alexandria database.

Cell lengths 7.3142, 7.3142, 5.4389 Å; angles 98.32, 98.32, 88.53 degrees
Element x y z (fractional)
O  0.1787  0.1559  0.0213
O  0.4541  0.3041  0.8447
O  0.6959  0.5459  0.6553
K  0.8307  0.1693  0.7500
K  0.1693  0.8307  0.2500
Pm  0.6207  0.3793  0.2500
O  0.9277  0.3709  0.2234
O  0.3709  0.9277  0.7234
O  0.1559  0.1787  0.5213
O  0.8441  0.8213  0.4787
O  0.3041  0.4541  0.3447
O  0.0723  0.6291  0.7766
Si  0.6992  0.8616  0.2209
Si  0.8616  0.6992  0.7209
O  0.6291  0.0723  0.2766
Si  0.1384  0.3008  0.2791
Si  0.3008  0.1384  0.7791
Pm  0.3793  0.6207  0.7500
O  0.5459  0.6959  0.1553
O  0.8213  0.8441  0.9787

Values from the calculation:
symmetry = C2/c (15)
uncorrected formation energy = -2.866 eV per atom

***

No. 3
The following is a PBE-GGA calculation of a relaxed Nb2GaHgF crystal, from the Alexandria database.

Cell lengths 5.2671, 4.7293, 5.2671 Å; angles 90.00, 90.00, 90.00 degrees
Element x y z (fractional)
Nb  0.0000  0.0000  0.5000
Nb  0.5000  0.0000  0.0000
Hg  0.0000  0.0000  0.0000
F  0.5000  0.5000  0.5000
Ga  0.0000  0.5000  0.0000

Values from the calculation:
symmetry = P4/mmm (123)
uncorrected formation energy = 1.518 eV per atom

***

No. 4
The following is a PBE-GGA calculation of a relaxed LaCeEr2Se4 crystal, from the Alexandria database.

Cell lengths 4.0901, 7.1210, 7.3248 Å; angles 108.73, 90.00, 90.00 degrees
Last column: magnetic moment on the atom in μB.
Element x y z (fractional)
Ce  0.5000  0.5000  0.0000  0.86
Se  0.5000  0.2596  0.2705  0.00
Se  0.0000  0.2465  0.7318  -0.01
Se  0.0000  0.7535  0.2682  -0.01
Er  0.5000  0.0000  0.5000  -0.01
Se  0.5000  0.7404  0.7295  0.00
Er  0.0000  0.5000  0.5000  0.01
La  0.0000  0.0000  0.0000  0.03

Values from the calculation:
symmetry = P2/m (10)
uncorrected formation energy = -1.812 eV per atom

***

No. 5
The following is a PBE-GGA calculation of a relaxed KScW crystal, from the Alexandria database.

Cell lengths 9.0734, 8.9569, 2.9339 Å; angles 82.89, 78.40, 18.71 degrees
Element x y z (fractional)
Sc  0.3050  0.3050  0.6950
K  0.0107  0.0107  0.9893
W  0.6844  0.6844  0.3156

Values from the calculation:
relative energy among the computed polymorphs = 0.000 eV/atom
symmetry = Fmm2 (42)

***

Please write out number 4 again, unchanged.
The following is a PBE-GGA calculation of a relaxed LaCeEr2Se4 crystal, from the Alexandria database.

Cell lengths 4.0901, 7.1210, 7.3248 Å; angles 108.73, 90.00, 90.00 degrees
Last column: magnetic moment on the atom in μB.
Element x y z (fractional)
Ce  0.5000  0.5000  0.0000  0.86
Se  0.5000  0.2596  0.2705  0.00
Se  0.0000  0.2465  0.7318  -0.01
Se  0.0000  0.7535  0.2682  -0.01
Er  0.5000  0.0000  0.5000  -0.01
Se  0.5000  0.7404  0.7295  0.00
Er  0.0000  0.5000  0.5000  0.01
La  0.0000  0.0000  0.0000  0.03

Values from the calculation:
symmetry = P2/m (10)
uncorrected formation energy = -1.812 eV per atom